Entry 1:
12
Lattice="4.504 0.000 0.000 0.000 8.254 0.000 0.000 0.000 6.779" Properties=species:S:1:pos:R:3 comment="PBE DyHf3Ir2, relaxed" sg="No. 26" formation_energy_ev_per_atom=-0.7546 pbc="T T T"
Dy 0.000 0.596 0.000
Dy 0.000 7.658 3.390
Hf 0.000 2.760 4.312
Hf 0.000 5.494 0.923
Hf 2.252 1.481 2.326
Hf 2.252 3.503 6.642
Hf 2.252 4.751 3.253
Hf 2.252 6.773 5.716
Ir 0.000 2.864 1.642
Ir 0.000 5.390 5.032
Ir 2.252 1.389 4.980
Ir 2.252 6.865 1.591

***

Entry 2:
4
Lattice="3.193 0.000 0.000 -1.596 2.765 0.000 0.000 0.000 7.953" Properties=species:S:1:pos:R:3 comment="PBE Ti3Se, relaxed" relative_energy_ev_per_atom=0.163 sg="No. 187" formation_energy_uncorrected_ev_per_atom=-0.4635 pbc="T T T"
Ti 0.000 0.000 0.000
Ti 1.596 0.922 2.166
Ti 1.596 0.922 5.787
Se 0.000 1.843 3.976

***

Entry 3:
10
Lattice="7.548 0.000 0.000 0.000 7.548 0.000 0.000 0.000 3.268" Properties=species:S:1:pos:R:3 comment="PBE Zr2ZnOs2, relaxed" sg="No. 127" formation_energy_ev_per_atom=-0.1079 pbc="T T T"
Zr 1.190 2.584 0.000
Zr 2.584 6.358 0.000
Zr 4.965 1.190 0.000
Zr 6.358 4.965 0.000
Zn 0.000 0.000 1.634
Zn 3.774 3.774 1.634
Os 1.067 4.841 1.634
Os 2.707 1.067 1.634
Os 4.841 6.481 1.634
Os 6.481 2.707 1.634

***

Entry 4:
10
Lattice="4.510 -7.700 0.000 4.510 7.700 0.000 0.000 0.000 5.177" Properties=species:S:1:pos:R:3 comment="PBE Ho7TmHg2, relaxed" sg="No. 65" formation_energy_ev_per_atom=0.2886 pbc="T T T"
Ho 0.000 0.000 0.000
Ho 2.865 1.836 0.000
Ho 4.510 3.544 2.588
Ho 2.865 -1.836 0.000
Ho 6.155 1.836 0.000
Ho 4.510 -3.544 2.588
Ho 6.155 -1.836 0.000
Tm 4.510 0.000 2.588
Hg 4.510 4.730 0.000
Hg 4.510 -4.730 0.000

***

Entry 5:
5
Lattice="6.207 0.000 0.000 0.000 6.207 0.000 0.000 0.000 6.314" Properties=species:S:1:pos:R:3 comment="PBE BaTeAsSe2, relaxed" relative_energy_ev_per_atom=1.155 sg="No. 123" formation_energy_uncorrected_ev_per_atom=0.7321 pbc="T T T"
Ba 0.000 0.000 0.000
Te 3.104 3.104 3.157
As 0.000 0.000 3.157
Se 0.000 3.104 0.000
Se 3.104 0.000 0.000

***

Entry 6:
4
Lattice="2.211 1.277 6.968 -2.211 1.277 6.968 0.000 -2.553 6.968" Properties=species:S:1:pos:R:3 comment="PBE CeP2Au, relaxed" sg="No. 166" formation_energy_ev_per_atom=-0.3681 pbc="T T T"
Ce 0.000 0.000 0.000
P 0.000 0.000 8.151
P 0.000 0.000 12.752
Au 0.000 0.000 10.451

***

Entry 7:
12
Lattice="3.709 -5.300 0.000 3.709 5.300 0.000 0.000 0.000 5.461" Properties=species:S:1:pos:R:3 comment="PBE TbFeSi3Tc, relaxed" sg="No. 63" formation_energy_uncorrected_ev_per_atom=-0.3420 pbc="T T T"
Tb 3.709 2.706 4.096
Tb 3.709 -2.706 1.365
Fe 3.709 4.920 1.365
Fe 3.709 -4.920 4.096
Si 3.709 2.828 1.365
Si 1.789 0.000 0.000
Si 1.789 0.000 2.731
Si 5.630 0.000 0.000
Si 5.630 0.000 2.731
Si 3.709 -2.828 4.096
Tc 3.709 0.590 1.365
Tc 3.709 -0.590 4.096

***

Entry 8:
12
Lattice="9.083 -2.005 0.000 9.083 2.005 0.000 -2.434 0.000 8.026" Properties=species:S:1:pos:R:3 comment="PBE Ho6Ga2AsSe3, relaxed" sg="No. 12" formation_energy_uncorrected_ev_per_atom=-1.3269 pbc="T T T"
Ho -0.497 0.000 1.969
Ho 3.877 0.000 7.268
Ho 5.137 0.000 3.247
Ho 10.594 0.000 4.779
Ho 11.854 0.000 0.759
Ho 16.228 0.000 6.057
Ga 2.282 0.000 2.822
Ga 13.449 0.000 5.204
As 9.083 0.000 0.000
Se 0.907 0.000 6.772
Se 7.866 0.000 4.013
Se 14.824 0.000 1.255

***

Entry 9:
4
Lattice="6.789 -1.991 0.000 6.789 1.991 0.000 -2.482 0.000 5.250" Properties=species:S:1:pos:R:3 comment="PBE BaLa2Cr, relaxed" relative_energy_ev_per_atom=0.121 sg="No. 8" formation_energy_ev_per_atom=0.4336 pbc="T T T"
Ba 0.000 0.000 0.000
La 6.540 0.000 3.094
La 10.021 0.000 1.525
Cr 1.818 0.000 4.064

***

Entry 10:
28
Lattice="8.087 0.000 0.000 0.000 4.834 0.000 0.000 0.000 10.301" Properties=species:S:1:pos:R:3 comment="PBE DyCdNi5, relaxed" sg="No. 62" formation_energy_ev_per_atom=-0.2507 pbc="T T T"
Dy 2.009 1.208 0.627
Dy 2.035 3.625 5.777
Dy 6.053 1.208 4.524
Dy 6.078 3.625 9.675
Cd 1.100 3.625 8.898
Cd 2.944 1.208 3.747
Cd 5.144 3.625 6.554
Cd 6.987 1.208 1.403
Ni 0.385 3.625 1.127
Ni 0.551 0.001 3.224
Ni 0.551 2.416 3.224
Ni 0.657 1.208 5.322
Ni 1.524 1.208 7.616
Ni 2.520 3.625 2.465
Ni 3.386 3.625 0.172
Ni 3.493 4.833 8.375
Ni 3.493 2.418 8.375
Ni 3.659 1.208 6.278
Ni 4.428 3.625 4.024
Ni 4.595 0.001 1.927
Ni 4.595 2.416 1.927
Ni 4.701 1.208 10.129
Ni 5.568 1.208 7.836
Ni 6.563 3.625 2.685
Ni 7.430 3.625 4.979
Ni 7.536 4.833 7.077
Ni 7.536 2.418 7.077
Ni 7.703 1.208 9.174

***

Entry 11:
20
Lattice="5.745 -4.897 0.000 5.745 4.897 0.000 0.000 0.000 4.558" Properties=species:S:1:pos:R:3 comment="PBE ScHRh3, relaxed" relative_energy_ev_per_atom=0.134 sg="No. 15" pbc="T T T"
Sc 5.745 3.516 3.419
Sc 5.745 1.382 1.140
Sc 5.745 -1.382 3.419
Sc 5.745 -3.516 1.140
H 4.145 2.446 2.284
H 7.345 2.446 4.554
H 4.145 -2.446 0.005
H 7.345 -2.446 2.274
Rh 1.535 0.821 3.399
Rh 2.873 1.626 1.085
Rh 1.535 -0.821 1.120
Rh 4.209 0.820 3.399
Rh 2.873 -1.626 3.364
Rh 4.209 -0.820 1.119
Rh 7.281 0.820 3.439
Rh 8.618 1.626 1.195
Rh 7.281 -0.820 1.160
Rh 9.955 0.821 3.438
Rh 8.618 -1.626 3.474
Rh 9.955 -0.821 1.159

***

Entry 12:
18
Lattice="4.601 2.656 6.074 -4.601 2.656 6.074 0.000 -5.313 6.074" Properties=species:S:1:pos:R:3 comment="PBE Sr2Al12AgPt3, relaxed" sg="No. 166" formation_energy_ev_per_atom=-0.1632 pbc="T T T"
Sr 0.000 0.000 1.880
Sr 0.000 0.000 16.341
Al -2.244 -1.296 8.541
Al 0.000 -1.959 6.825
Al -1.696 0.979 6.825
Al 0.000 -2.591 9.680
Al -2.244 1.296 9.680
Al -1.696 -0.979 11.396
Al 1.696 0.979 6.825
Al 2.244 -1.296 8.541
Al 0.000 2.591 8.541
Al 1.696 -0.979 11.396
Al 0.000 1.959 11.396
Al 2.244 1.296 9.680
Ag 0.000 0.000 9.111
Pt -2.301 -1.328 6.074
Pt -2.301 1.328 12.147
Pt 0.000 2.656 6.074